Here is a geometry-optimized Nd3Zn7Pt4 structure from Alexandria via LeMat-Bulk. Energies are from PBE.

abc: 8.144 8.144 9.374
angles: 122.90 122.90 31.35
Atoms (fractional coordinates):
Nd: 0.000 0.000 0.000
Nd: 0.299 0.299 0.293
Nd: 0.701 0.701 0.707
Zn: 0.000 0.000 0.500
Zn: 0.144 0.144 0.421
Zn: 0.327 0.327 0.982
Zn: 0.497 0.497 0.697
Zn: 0.503 0.503 0.303
Zn: 0.673 0.673 0.018
Zn: 0.856 0.856 0.579
Pt: 0.118 0.118 0.833
Pt: 0.339 0.339 0.715
Pt: 0.661 0.661 0.285
Pt: 0.882 0.882 0.167

Results
E_form ... -711.5 meV/atom
Fermi-level density of states ... 7.7 states/eV per cell